# Ba2SnGePt6 | Alexandria | PBE-GGA | relaxed
data_Ba2SnGePt6
_cell_length_a 5.723
_cell_length_b 6.912
_cell_length_c 7.182
_cell_angle_alpha 85.53
_cell_angle_beta 66.54
_cell_angle_gamma 65.60
_symmetry_space_group_name_H-M 'P -1'
_symmetry_Int_Tables_number 2
loop_
_symmetry_equiv_pos_as_xyz
'x,y,z'
'-x,-y,-z'
loop_
_atom_site_label
_atom_site_fract_x
_atom_site_fract_y
_atom_site_fract_z
Ba1 0.054 0.195 0.196
Sn1 0.500 0.500 0.000
Ge1 0.500 0.000 0.500
Pt1 0.010 0.273 0.708
Pt2 0.370 0.377 0.382
Pt3 0.492 0.727 0.291
# magnetic moment = 0.00 Bohr magnetons per cell
# total DFT energy (no corrections) = -5.532 eV per atom
# ΔE_f = -661 meV per atom